[1]
Pm3Ga2Pt4 | PBE | relaxed

Unit cell a=5.8475 b=5.8475 c=8.7932 alpha=111.87 beta=111.87 gamma=44.15
Element x y z (fractional)
Pm 0.0000 0.0000 0.0000
Pm 0.3633 0.3633 0.3079
Pm 0.6367 0.6367 0.6921
Ga 0.3376 0.3376 0.6697
Ga 0.6624 0.6624 0.3303
Pt 0.0886 0.0886 0.4131
Pt 0.2845 0.2845 0.9278
Pt 0.7155 0.7155 0.0722
Pt 0.9114 0.9114 0.5869

Calculated values
Total magnetization   0.0 μB per formula unit
Uncorrected energy   -54.05 eV per cell
Energy relative to the elements   -1065 meV/atom



[2]
Mn3TlS6 | PBE | relaxed

Unit cell a=10.9280 b=3.4064 c=11.0046 alpha=90.00 beta=109.33 gamma=90.00
Element x y z (fractional)
Mn 0.0348 0.2500 0.1515
Mn 0.2082 0.2500 0.7439
Mn 0.3486 0.7500 0.4582
Mn 0.6514 0.2500 0.5418
Mn 0.7918 0.7500 0.2561
Mn 0.9652 0.7500 0.8485
Tl 0.3959 0.7500 0.1205
Tl 0.6041 0.2500 0.8795
S 0.0522 0.7500 0.6803
S 0.1061 0.2500 0.9615
S 0.1808 0.7500 0.2473
S 0.2577 0.2500 0.5420
S 0.3512 0.7500 0.8400
S 0.4499 0.2500 0.3755
S 0.5501 0.7500 0.6245
S 0.6488 0.2500 0.1600
S 0.7423 0.7500 0.4580
S 0.8192 0.2500 0.7527
S 0.8939 0.7500 0.0385
S 0.9478 0.2500 0.3197

Calculated values
Total magnetization   9.7 μB per formula unit
Uncorrected energy   -118.93 eV per cell



Number 1: Fermi-level density of states 5.75 states/eV per cell. Number 2: Fermi-level density of states 5.39 states/eV per cell.